# 1
VASP calculation (GGA-PBE) on an optimized crystal structure of MgCrAu2.

Results
Space group: P4mm, No. 99
DOS at the Fermi energy, states/eV/f.u.: 2.3
V, Å³/cell: 72.1
Energy of formation from the pure elements, eV/atom: -0.09

Cell: 3.5553 3.5553 5.7015 Å, 90.00 90.00 90.00°
Atoms (fractional coordinates):
Mg 0.0000 0.0000 0.0000
Cr 0.5000 0.5000 0.7084
Au 0.0000 0.0000 0.5078
Au 0.5000 0.5000 0.2074

***

# 2
VASP calculation (GGA-PBE) on an optimized crystal structure of MgCrAu2.

Results
Space group: F-43m, No. 216
DOS at the Fermi energy, states/eV/f.u.: 2.0
V, Å³/cell: 70.2
Energy of formation from the pure elements, eV/atom: -0.06

Cell: 4.6305 4.6305 4.6305 Å, 60.00 60.00 60.00°
Atoms (fractional coordinates):
Mg 0.0000 0.0000 0.0000
Cr 0.2500 0.2500 0.2500
Au 0.5000 0.5000 0.5000
Au 0.7500 0.7500 0.7500

***

# 3
VASP calculation (GGA-PBE) on an optimized crystal structure of MgCrAu2.

Results
Space group: R-3m, No. 166
DOS at the Fermi energy, states/eV/f.u.: 2.8
V, Å³/cell: 72.8
Energy of formation from the pure elements, eV/atom: 0.03

Cell: 8.7812 8.7812 8.7812 Å, 20.51 20.51 20.51°
Atoms (fractional coordinates):
Mg 0.0000 0.0000 0.0000
Cr 0.5000 0.5000 0.5000
Au 0.2482 0.2482 0.2482
Au 0.7518 0.7518 0.7518

***

# 4
VASP calculation (GGA-PBE) on an optimized crystal structure of MgCr2Au.

Results
Space group: P2/m, No. 10
DOS at the Fermi energy, states/eV/f.u.: 4.4
V, Å³/cell: 61.4
Energy of formation from the pure elements, eV/atom: 0.38

Cell: 2.7680 4.7494 4.7071 Å, 90.00 96.82 90.00°
Atoms (fractional coordinates):
Mg 0.0000 0.0000 0.0000
Cr 0.3328 0.5000 0.7979
Cr 0.6672 0.5000 0.2021
Au 0.5000 0.0000 0.5000

***

# 5
VASP calculation (GGA-PBE) on an optimized crystal structure of MgCr2Au.

Results
Space group: P4/mmm, No. 123
DOS at the Fermi energy, states/eV/f.u.: 2.2
V, Å³/cell: 71.0
Energy of formation from the pure elements, eV/atom: 0.37

Cell: 3.3522 3.3522 6.3191 Å, 90.00 90.00 90.00°
Atoms (fractional coordinates):
Mg 0.0000 0.0000 0.0000
Cr 0.5000 0.5000 0.2642
Cr 0.5000 0.5000 0.7358
Au 0.0000 0.0000 0.5000

***

# 6
VASP calculation (GGA-PBE) on an optimized crystal structure of MgCrAu6.

Results
Space group: P4/mmm, No. 123
DOS at the Fermi energy, states/eV/f.u.: 3.1
V, Å³/cell: 141.6
Energy of formation from the pure elements, eV/atom: -0.16

Cell: 4.1238 4.1238 8.3279 Å, 90.00 90.00 90.00°
Atoms (fractional coordinates):
Mg 0.0000 0.0000 0.0000
Cr 0.0000 0.0000 0.5000
Au 0.0000 0.5000 0.2516
Au 0.0000 0.5000 0.7484
Au 0.5000 0.0000 0.2516
Au 0.5000 0.0000 0.7484
Au 0.5000 0.5000 0.0000
Au 0.5000 0.5000 0.5000